(1)
VASP calculation (PBE-GGA) on an optimized crystal structure of FeTcI6.

Cell: 9.0394 9.0394 10.5242 Å, 125.15 125.15 70.00°
Atoms (fractional coordinates):
Fe 0.0000 0.5000 0.0000
Fe 0.5000 0.0000 0.0000
Tc 0.0000 0.5000 0.5000
Tc 0.5000 0.0000 0.5000
I 0.1251 0.5087 0.8115
I 0.1788 0.8126 0.6874
I 0.1874 0.8212 0.3126
I 0.3051 0.3051 0.1141
I 0.3110 0.3110 0.4855
I 0.4913 0.8749 0.1885
I 0.5087 0.1251 0.8115
I 0.6890 0.6890 0.5145
I 0.6949 0.6949 0.8859
I 0.8126 0.1788 0.6874
I 0.8212 0.1874 0.3126
I 0.8749 0.4913 0.1885

The value obtained for the formation energy without anion corrections is 0.0391 eV per atom. The symmetry is C2/m, No. 12.

---

(2)
VASP calculation (PBE-GGA) on an optimized crystal structure of Ga3Rh4Au.

Cell: 4.2869 4.2869 6.3715 Å, 90.00 90.00 90.00°
Atoms (fractional coordinates):
Ga 0.0000 0.0000 0.0000
Ga 0.0000 0.0000 0.5000
Ga 0.5000 0.5000 0.0000
Rh 0.0000 0.5000 0.2319
Rh 0.0000 0.5000 0.7681
Rh 0.5000 0.0000 0.2319
Rh 0.5000 0.0000 0.7681
Au 0.5000 0.5000 0.5000

As for the formation energy: -46.0 kJ/mol of atoms. The symmetry is P4/mmm, No. 123.

---

(3)
VASP calculation (PBE-GGA) on an optimized crystal structure of BeTe2Se.

Cell: 4.2434 4.2434 7.6483 Å, 90.00 90.00 127.90°
Atoms (fractional coordinates):
Be 0.0000 0.0000 0.0000
Te 0.5000 0.5000 0.2134
Te 0.5000 0.5000 0.7866
Se 0.0000 0.0000 0.5000

The value obtained for the formation energy without anion corrections is 0.2958 eV per atom. The symmetry is Cmmm, No. 65.

---

(4)
VASP calculation (PBE-GGA) on an optimized crystal structure of LaNd2SmTm2.

Cell: 7.0421 16.3637 3.5581 Å, 90.00 90.00 90.00°
Atoms (fractional coordinates):
La 0.0000 0.0000 0.0000
La 0.5000 0.5000 0.5000
Nd 0.2475 0.3380 0.0000
Nd 0.2525 0.8380 0.5000
Nd 0.7475 0.1620 0.5000
Nd 0.7525 0.6620 0.0000
Sm 0.0000 0.5000 0.5000
Sm 0.5000 0.0000 0.0000
Tm 0.2492 0.1537 0.5000
Tm 0.2508 0.6537 0.0000
Tm 0.7492 0.3463 0.0000
Tm 0.7508 0.8463 0.5000

As for the formation energy: 15.0 kJ/mol of atoms. The symmetry is Pnnm, No. 58.

---

(5)
VASP calculation (PBE-GGA) on an optimized crystal structure of SiTc4Ni.

Cell: 5.0450 5.0450 5.0450 Å, 60.00 60.00 60.00°
Atoms (fractional coordinates):
Si 0.0000 0.0000 0.0000
Tc 0.1267 0.6244 0.6244
Tc 0.6244 0.1267 0.6244
Tc 0.6244 0.6244 0.1267
Tc 0.6244 0.6244 0.6244
Ni 0.2500 0.2500 0.2500

The value obtained for the formation energy without anion corrections is 0.5707 eV per atom. The symmetry is F-43m, No. 216.

---

(6)
VASP calculation (PBE-GGA) on an optimized crystal structure of Er6Cu2Ru.

Cell: 8.1992 8.1992 8.1992 Å, 110.46 109.46 108.50°
Atoms (fractional coordinates):
Er 0.0724 0.2470 0.8254
Er 0.2093 0.5378 0.3285
Er 0.2093 0.8808 0.6715
Er 0.3143 0.2364 0.5507
Er 0.3143 0.7636 0.0780
Er 0.4216 0.2470 0.1746
Er 0.5784 0.7530 0.8254
Er 0.6857 0.2364 0.9220
Er 0.6857 0.7636 0.4493
Er 0.7907 0.1192 0.3285
Er 0.7907 0.4622 0.6715
Er 0.9276 0.7530 0.1746
Cu 0.0000 0.1234 0.1234
Cu 0.0000 0.8766 0.8766
Cu 0.1486 0.5000 0.6486
Cu 0.8514 0.5000 0.3514
Ru 0.5000 0.0000 0.5000
Ru 0.5000 0.5000 0.0000

As for the formation energy: -22.7 kJ/mol of atoms. The symmetry is Immm, No. 71.

---

Ordered total moment results: 13.85; 0.00; 0.00; 0.00; 0.00; 0.00; unit Bohr magnetons per cell.